(1)
Density functional theory data (PBE) for a relaxed BeTlIn2 crystal.

Calculated values
**Energy relative to the lowest polymorph listed for this composition**: 0.000 eV per atom

abc: 4.224 4.224 6.938
angles: 72.90 72.90 59.68
Fractional coordinates of all 4 atoms:
In1 0.533 0.533 0.402
In2 0.967 0.967 0.098
Be1 0.250 0.250 0.250
Tl1 0.750 0.750 0.750



(2)
Density functional theory data (PBE) for a relaxed YAlCr crystal.

Calculated values
**Total DFT energy (no corrections)**: -79.4 eV per cell

abc: 4.199 7.687 7.323
angles: 90.00 90.00 90.00
Last column: magnetic moment on the atom in μB.
Fractional coordinates of all 12 atoms:
Y1 0.250 0.310 0.122  -0.03
Y2 0.250 0.190 0.622  -0.03
Y3 0.750 0.690 0.122  -0.03
Y4 0.750 0.810 0.622  -0.03
Cr1 0.250 0.550 0.445  0.77
Cr2 0.750 0.050 0.945  0.77
Cr3 0.750 0.450 0.445  0.77
Cr4 0.250 0.950 0.945  0.77
Al1 0.250 0.601 0.815  -0.01
Al2 0.750 0.101 0.315  -0.01
Al3 0.750 0.399 0.815  -0.01
Al4 0.250 0.899 0.315  -0.01



Number 1: total moment 0.0 Bohr magnetons per cell. Number 2: total moment 3.2 Bohr magnetons per cell.